[1]
# PBE BaPu4Se6, optimized geometry
data_BaPu4Se6
_cell_length_a 4.2377
_cell_length_b 13.7859
_cell_length_c 21.5131
_cell_angle_alpha 90.00
_cell_angle_beta 90.00
_cell_angle_gamma 90.00
_space_group_name_H-M_alt 'C m c m'
_space_group_IT_number 63
_space_group_name_Hall '-C 2c 2'
loop_
_atom_site_label
_atom_site_type_symbol
_atom_site_fract_x
_atom_site_fract_y
_atom_site_fract_z
Ba1 Ba 0.0000 0.1598 0.2500
Pu1 Pu 0.0000 0.0959 0.6267
Pu2 Pu 0.0000 0.3637 0.5414
Se1 Se 0.0000 0.0000 0.0000
Se2 Se 0.0000 0.1642 0.7500
Se3 Se 0.0000 0.2701 0.0830
Se4 Se 0.0000 0.4617 0.6581
# electronic total energy = -391.9 eV/cell
# N(E_F) = 3.6661 states/eV/atom



[2]
# PBE Ba2Pu2Se5, optimized geometry
data_Ba2Pu2Se5
_cell_length_a 21.0396
_cell_length_b 8.1759
_cell_length_c 7.4639
_cell_angle_alpha 90.00
_cell_angle_beta 90.00
_cell_angle_gamma 90.00
_space_group_name_H-M_alt 'I m a 2'
_space_group_IT_number 46
loop_
_space_group_symop_operation_xyz
'x,y,z'
'-x,-y,z'
'-x+1/2,y,z'
'x+1/2,-y,z'
'x+1/2,y+1/2,z+1/2'
'-x+1/2,-y+1/2,z+1/2'
'-x,y+1/2,z+1/2'
'x,-y+1/2,z+1/2'
loop_
_atom_site_label
_atom_site_type_symbol
_atom_site_fract_x
_atom_site_fract_y
_atom_site_fract_z
Ba1 Ba 0.1035 0.0351 0.0000
Pu1 Pu 0.0000 0.0000 0.5105
Pu2 Pu 0.2500 0.5785 0.9537
Se1 Se 0.0185 0.7452 0.7561
Se2 Se 0.1347 0.0762 0.5358
Se3 Se 0.2500 0.5927 0.5725
# electronic total energy = -257.2 eV/cell
# N(E_F) = 2.8554 states/eV/atom